Material: PrNd2Mg
Method: DFT, PBE
State: relaxed

Values from the calculation:
energy above the lowest structure with this stoichiometry = 246.6 meV/atom
SG = R-3m, No. 166
total DFT energy (no corrections) = -15.1 eV per cell
formation enthalpy at 0 K = 204 meV/atom
calculated volume = 138.7 Å³ per cell

a = 3.5499 Å, b = 3.5499 Å, c = 12.8727 Å
α = 82.07°, β = 82.07°, γ = 60.00°
Positions (direct):
Pr  0.5000  0.5000  0.5000
Mg  0.0000  0.0000  0.0000
Nd  0.9119  0.9119  0.2643
Nd  0.0881  0.0881  0.7357

***

Material: LiLaGdGa
Method: DFT, PBE
State: relaxed

Values from the calculation:
SG = F-43m, No. 216
total DFT energy (no corrections) = -25.2 eV per cell
formation enthalpy at 0 K = -302 meV/atom
calculated volume = 102.9 Å³ per cell

a = 5.2599 Å, b = 5.2599 Å, c = 5.2599 Å
α = 60.00°, β = 60.00°, γ = 60.00°
Last column: magnetic moment on the atom in μB.
Positions (direct):
Gd  0.0000  0.0000  0.0000  7.21
Ga  0.2500  0.2500  0.2500  -0.02
Li  0.7500  0.7500  0.7500  0.01
La  0.5000  0.5000  0.5000  0.10

***

Material: ErTa2B6
Method: DFT, PBE
State: relaxed

Values from the calculation:
energy above the lowest structure with this stoichiometry = 177.2 meV/atom
SG = Immm, No. 71
total DFT energy (no corrections) = -73.2 eV per cell
formation enthalpy at 0 K = -539 meV/atom
calculated volume = 99.0 Å³ per cell

a = 3.2094 Å, b = 5.8135 Å, c = 5.8135 Å
α = 77.21°, β = 73.98°, γ = 73.98°
Positions (direct):
B  0.0000  0.1524  0.8476
B  0.8037  0.4323  0.9603
B  0.1963  0.5677  0.0397
B  0.1963  0.0397  0.5677
B  0.0000  0.8476  0.1524
B  0.8037  0.9603  0.4323
Ta  0.3380  0.1620  0.1620
Ta  0.6620  0.8380  0.8380
Er  0.5000  0.5000  0.5000

***

Material: KTa2Si
Method: DFT, PBE
State: relaxed

Values from the calculation:
SG = Pmm2, No. 25
total DFT energy (no corrections) = -28.7 eV per cell
ΔE_f (raw) = 0.3750 eV/atom
calculated volume = 93.9 Å³ per cell

a = 2.9548 Å, b = 3.7602 Å, c = 8.4491 Å
α = 90.00°, β = 90.00°, γ = 90.00°
Positions (direct):
Ta  0.5000  0.5000  0.1616
Ta  0.0000  0.0000  0.9746
K  0.0000  0.0000  0.5323
Si  0.5000  0.5000  0.8315